[1]
## Ba3TbTl2O6 (PBE)

Data for an optimized crystal structure of Ba3TbTl2O6. Values from VASP.

space group = No. 164
electronic total energy = -5.86 eV/atom

Geometry as Quantum ESPRESSO input:
```
&SYSTEM
  ibrav = 0, nat = 12, ntyp = 4
/
ATOMIC_SPECIES
Ba 137.33 Ba.upf
Tb 158.93 Tb.upf
Tl 204.38 Tl.upf
O 16.00 O.upf
ATOMIC_POSITIONS crystal
Ba 0.0000 0.0000 0.0000
Ba 0.3333 0.6667 0.6102
Ba 0.6667 0.3333 0.3898
Tb 0.0000 0.0000 0.5000
Tl 0.3333 0.6667 0.1256
Tl 0.6667 0.3333 0.8744
O 0.1660 0.3320 0.3122
O 0.1660 0.8340 0.3122
O 0.3320 0.1660 0.6878
O 0.6680 0.8340 0.3122
O 0.8340 0.1660 0.6878
O 0.8340 0.6680 0.6878
CELL_PARAMETERS angstrom
6.3234 0.0000 0.0000
-3.1617 5.4762 0.0000
0.0000 0.0000 7.1148
```

=====

[2]
## K2BeSe2 (PBE)

Data for an optimized crystal structure of K2BeSe2. Values from VASP.

space group = No. 139
electronic total energy = -3.52 eV/atom
distance to the lowest polymorph of the same formula = 120.5 meV per atom

Geometry as Quantum ESPRESSO input:
```
&SYSTEM
  ibrav = 0, nat = 10, ntyp = 3
/
ATOMIC_SPECIES
K 39.10 K.upf
Be 9.01 Be.upf
Se 78.96 Se.upf
ATOMIC_POSITIONS crystal
K 0.0000 0.5000 0.2500
K 0.0000 0.5000 0.7500
K 0.5000 0.0000 0.2500
K 0.5000 0.0000 0.7500
Be 0.0000 0.0000 0.0000
Be 0.5000 0.5000 0.5000
Se 0.0000 0.0000 0.1717
Se 0.0000 0.0000 0.8283
Se 0.5000 0.5000 0.3283
Se 0.5000 0.5000 0.6717
CELL_PARAMETERS angstrom
6.3750 0.0000 0.0000
0.0000 6.3750 0.0000
0.0000 0.0000 11.6757
```

=====

ΔE_f (raw) for every record listed, in sequence, given in kJ/mol of formula units: -2450 -452.